[1]
Material: LaHO
Method: DFT, PBE
State: relaxed

The symmetry is R-3m. The calculation puts the energy at -6.6463 eV per atom. The calculation puts the density of states at the Fermi level at 0.00 states/eV per cell. For the volume, the calculation gives 15.76 A^3/atom. The size of the total moment comes out at 0.000 μB per formula unit. The value obtained for the energy above the most stable polymorph in this dataset is 0.00 eV/f.u.

a b c (Å): 7.075 7.075 7.075
angles (deg): 33.21 33.21 33.21
Fractional coordinates of all 6 atoms:
La  0.243  0.243  0.243
La  0.757  0.757  0.757
H  0.370  0.370  0.370
H  0.630  0.630  0.630
O  0.120  0.120  0.120
O  0.880  0.880  0.880

---

[2]
Material: LaHO2
Method: DFT, PBE
State: relaxed

The symmetry is R-3m. The calculation puts the energy at -7.0444 eV per atom. The calculation puts the density of states at the Fermi level at 0.00 states/eV per cell. For the volume, the calculation gives 14.19 A^3/atom. The size of the total moment comes out at 0.000 μB per formula unit.

a b c (Å): 3.786 3.786 13.718
angles (deg): 90.00 90.00 120.00
Fractional coordinates of all 12 atoms:
La  0.000  0.000  0.000
La  0.333  0.667  0.667
La  0.667  0.333  0.333
H  0.000  0.000  0.500
H  0.333  0.667  0.167
H  0.667  0.333  0.833
O  0.000  0.000  0.411
O  0.000  0.000  0.589
O  0.333  0.667  0.078
O  0.333  0.667  0.256
O  0.667  0.333  0.744
O  0.667  0.333  0.922

---

[3]
Material: LaHO2
Method: DFT, PBE
State: relaxed

The symmetry is P2_1/m. The calculation puts the energy at -7.1581 eV per atom. The calculation puts the density of states at the Fermi level at 0.00 states/eV per cell. For the volume, the calculation gives 13.59 A^3/atom. The size of the total moment comes out at 0.000 μB per formula unit.

a b c (Å): 4.472 3.954 6.450
angles (deg): 90.00 107.53 90.00
Fractional coordinates of all 8 atoms:
La  0.169  0.250  0.308
La  0.831  0.750  0.692
H  0.477  0.750  0.068
H  0.523  0.250  0.932
O  0.256  0.750  0.060
O  0.260  0.750  0.538
O  0.740  0.250  0.462
O  0.744  0.250  0.940

---

[4]
Material: LaHO
Method: DFT, PBE
State: relaxed

The symmetry is F-43m. The calculation puts the energy at -6.6434 eV per atom. The calculation puts the density of states at the Fermi level at 0.00 states/eV per cell. For the volume, the calculation gives 15.27 A^3/atom. The size of the total moment comes out at 0.000 μB per formula unit. The value obtained for the energy above the most stable polymorph in this dataset is 0.01 eV/f.u.

a b c (Å): 5.680 5.680 5.680
angles (deg): 90.00 90.00 90.00
Fractional coordinates of all 12 atoms:
La  0.000  0.000  0.000
La  0.000  0.500  0.500
La  0.500  0.000  0.500
La  0.500  0.500  0.000
H  0.250  0.250  0.250
H  0.250  0.750  0.750
H  0.750  0.250  0.750
H  0.750  0.750  0.250
O  0.250  0.250  0.750
O  0.250  0.750  0.250
O  0.750  0.250  0.250
O  0.750  0.750  0.750

---

[5]
Material: LaHO
Method: DFT, PBE
State: relaxed

The symmetry is F-43m. The calculation puts the energy at -6.2894 eV per atom. The calculation puts the density of states at the Fermi level at 0.00 states/eV per cell. For the volume, the calculation gives 12.54 A^3/atom. The size of the total moment comes out at 0.000 μB per formula unit. The value obtained for the energy above the most stable polymorph in this dataset is 1.07 eV/f.u.

a b c (Å): 5.319 5.319 5.319
angles (deg): 90.00 90.00 90.00
Fractional coordinates of all 12 atoms:
La  0.000  0.000  0.000
La  0.000  0.500  0.500
La  0.500  0.000  0.500
La  0.500  0.500  0.000
H  0.250  0.250  0.750
H  0.250  0.750  0.250
H  0.750  0.250  0.250
H  0.750  0.750  0.750
O  0.000  0.000  0.500
O  0.000  0.500  0.000
O  0.500  0.000  0.000
O  0.500  0.500  0.500

---

[6]
Material: LaHO2
Method: DFT, PBE
State: relaxed

The symmetry is R-3m. The calculation puts the energy at -4.4853 eV per atom. The calculation puts the density of states at the Fermi level at 6.23 states/eV per cell. For the volume, the calculation gives 13.67 A^3/atom. The size of the total moment comes out at 0.707 μB per formula unit.

a b c (Å): 3.302 3.302 17.365
angles (deg): 90.00 90.00 120.00
Fractional coordinates of all 12 atoms:
La  0.000  0.000  0.000
La  0.333  0.667  0.667
La  0.667  0.333  0.333
H  0.000  0.000  0.500
H  0.333  0.667  0.167
H  0.667  0.333  0.833
O  0.000  0.000  0.115
O  0.000  0.000  0.885
O  0.333  0.667  0.551
O  0.333  0.667  0.782
O  0.667  0.333  0.218
O  0.667  0.333  0.449

---

[7]
Material: LaHO2
Method: DFT, PBE
State: relaxed

The symmetry is I-42d. The calculation puts the energy at -6.0430 eV per atom. The calculation puts the density of states at the Fermi level at 0.00 states/eV per cell. For the volume, the calculation gives 13.30 A^3/atom. The size of the total moment comes out at 0.000 μB per formula unit.

a b c (Å): 4.485 4.485 10.578
angles (deg): 90.00 90.00 90.00
Fractional coordinates of all 16 atoms:
La  0.000  0.000  0.000
La  0.000  0.500  0.250
La  0.500  0.000  0.750
La  0.500  0.500  0.500
H  0.000  0.000  0.500
H  0.000  0.500  0.750
H  0.500  0.000  0.250
H  0.500  0.500  0.000
O  0.171  0.250  0.625
O  0.250  0.671  0.875
O  0.250  0.829  0.375
O  0.329  0.250  0.125
O  0.671  0.750  0.125
O  0.750  0.171  0.375
O  0.750  0.329  0.875
O  0.829  0.750  0.625

---

[8]
Material: La2HOsO
Method: DFT, PBE
State: relaxed

The symmetry is P4/mmm. The calculation puts the energy at -6.5762 eV per atom. The calculation puts the density of states at the Fermi level at 3.35 states/eV per cell. For the volume, the calculation gives 17.54 A^3/atom. The size of the total moment comes out at 0.000 μB per formula unit.

a b c (Å): 5.022 5.022 3.478
angles (deg): 90.00 90.00 90.00
Fractional coordinates of all 5 atoms:
La  0.000  0.500  0.000
La  0.500  0.000  0.000
H  0.000  0.000  0.000
Os  0.000  0.000  0.500
O  0.500  0.500  0.500

---

[9]
Material: La2P3H3O9
Method: DFT, PBE
State: relaxed

The symmetry is Pnma. The calculation puts the energy at -7.0490 eV per atom. The calculation puts the density of states at the Fermi level at 0.00 states/eV per cell. For the volume, the calculation gives 12.94 A^3/atom. The size of the total moment comes out at 0.000 μB per formula unit.

a b c (Å): 8.354 14.777 7.126
angles (deg): 90.00 90.00 90.00
Fractional coordinates of all 68 atoms:
La  0.201  0.075  0.148
La  0.201  0.425  0.148
La  0.299  0.575  0.648
La  0.299  0.925  0.648
La  0.701  0.075  0.352
La  0.701  0.425  0.352
La  0.799  0.575  0.852
La  0.799  0.925  0.852
P  0.035  0.750  0.890
P  0.051  0.102  0.660
P  0.051  0.398  0.660
P  0.449  0.602  0.160
P  0.449  0.898  0.160
P  0.465  0.250  0.390
P  0.535  0.750  0.610
P  0.551  0.102  0.840
P  0.551  0.398  0.840
P  0.949  0.602  0.340
P  0.949  0.898  0.340
P  0.965  0.250  0.110
H  0.113  0.185  0.725
H  0.113  0.315  0.725
H  0.122  0.750  0.059
H  0.378  0.250  0.559
H  0.387  0.685  0.225
H  0.387  0.815  0.225
H  0.613  0.185  0.775
H  0.613  0.315  0.775
H  0.622  0.750  0.441
H  0.878  0.250  0.941
H  0.887  0.685  0.275
H  0.887  0.815  0.275
O  0.066  0.033  0.826
O  0.066  0.467  0.826
O  0.074  0.661  0.789
O  0.074  0.839  0.789
O  0.123  0.616  0.394
O  0.123  0.884  0.394
O  0.146  0.250  0.069
O  0.163  0.069  0.501
O  0.163  0.431  0.501
O  0.337  0.569  0.001
O  0.337  0.931  0.001
O  0.354  0.750  0.569
O  0.377  0.116  0.894
O  0.377  0.384  0.894
O  0.426  0.161  0.289
O  0.426  0.339  0.289
O  0.434  0.533  0.326
O  0.434  0.967  0.326
O  0.566  0.033  0.674
O  0.566  0.467  0.674
O  0.574  0.661  0.711
O  0.574  0.839  0.711
O  0.623  0.616  0.106
O  0.623  0.884  0.106
O  0.646  0.250  0.431
O  0.663  0.069  0.999
O  0.663  0.431  0.999
O  0.837  0.569  0.499
O  0.837  0.931  0.499
O  0.854  0.750  0.931
O  0.877  0.116  0.606
O  0.877  0.384  0.606
O  0.926  0.161  0.211
O  0.926  0.339  0.211
O  0.934  0.533  0.174
O  0.934  0.967  0.174

---

[10]
Material: La6HPb2O
Method: DFT, PBE
State: relaxed

The symmetry is Pmmn. The calculation puts the energy at -5.4626 eV per atom. The calculation puts the density of states at the Fermi level at 26.73 states/eV per cell. For the volume, the calculation gives 26.87 A^3/atom. The size of the total moment comes out at 0.009 μB per formula unit.

a b c (Å): 7.230 10.281 7.229
angles (deg): 90.00 90.00 90.00
Fractional coordinates of all 20 atoms:
La  0.002  0.250  0.002
La  0.002  0.250  0.497
La  0.250  0.005  0.250
La  0.250  0.495  0.250
La  0.498  0.250  0.002
La  0.498  0.250  0.497
La  0.502  0.750  0.503
La  0.502  0.750  0.998
La  0.750  0.505  0.750
La  0.750  0.995  0.750
La  0.998  0.750  0.503
La  0.998  0.750  0.998
H  0.250  0.750  0.251
H  0.750  0.250  0.749
Pb  0.250  0.000  0.750
Pb  0.250  0.500  0.750
Pb  0.750  0.000  0.250
Pb  0.750  0.500  0.250
O  0.250  0.250  0.249
O  0.750  0.750  0.751

---

[11]
Material: La2HPbO
Method: DFT, PBE
State: relaxed

The symmetry is I-4m2. The calculation puts the energy at -5.9960 eV per atom. The calculation puts the density of states at the Fermi level at 5.35 states/eV per cell. For the volume, the calculation gives 22.41 A^3/atom. The size of the total moment comes out at 0.000 μB per formula unit.

a b c (Å): 3.987 3.987 14.096
angles (deg): 90.00 90.00 90.00
Fractional coordinates of all 10 atoms:
La  0.000  0.000  0.154
La  0.000  0.000  0.846
La  0.500  0.500  0.346
La  0.500  0.500  0.654
H  0.000  0.500  0.750
H  0.500  0.000  0.250
Pb  0.000  0.000  0.500
Pb  0.500  0.500  0.000
O  0.000  0.500  0.250
O  0.500  0.000  0.750

---

[12]
Material: LaH2PdO4
Method: DFT, PBE
State: relaxed

The symmetry is I222. The calculation puts the energy at -5.9871 eV per atom. The calculation puts the density of states at the Fermi level at 7.52 states/eV per cell. For the volume, the calculation gives 11.16 A^3/atom. The size of the total moment comes out at 1.057 μB per formula unit.

a b c (Å): 4.951 5.614 6.423
angles (deg): 90.00 90.00 90.00
Fractional coordinates of all 16 atoms:
La  0.000  0.000  0.000
La  0.500  0.500  0.500
H  0.000  0.500  0.193
H  0.000  0.500  0.807
H  0.500  0.000  0.307
H  0.500  0.000  0.693
Pd  0.000  0.000  0.500
Pd  0.500  0.500  0.000
O  0.210  0.391  0.799
O  0.210  0.609  0.201
O  0.290  0.109  0.299
O  0.290  0.891  0.701
O  0.710  0.109  0.701
O  0.710  0.891  0.299
O  0.790  0.391  0.201
O  0.790  0.609  0.799